# 1
VGaPb3 after structural relaxation, computed with GGA-PBE.

Cell and atoms, written as POSCAR:
```
VGaPb3
1.0
5.311 0.000 0.000
0.000 5.311 0.000
0.000 0.000 5.311
V Ga Pb
1 1 3
direct
0.000 0.000 0.000
0.500 0.500 0.500
0.000 0.000 0.500
0.000 0.500 0.000
0.500 0.000 0.000
```

Values from the calculation:
Volume in A^3/atom: 29.954
Formation energy in eV per atom: 0.395

# 2
Cs3Ce2Br9 after structural relaxation, computed with GGA-PBE.

Cell and atoms, written as POSCAR:
```
Cs3Ce2Br9
1.0
7.117 4.109 6.669
-7.117 4.109 6.669
0.000 -8.217 6.669
Cs Ce Br
6 4 18
direct
0.085 0.750 0.415
0.250 0.585 0.915
0.415 0.085 0.750
0.585 0.915 0.250
0.750 0.415 0.085
0.915 0.250 0.585
0.149 0.149 0.149
0.351 0.351 0.351
0.649 0.649 0.649
0.851 0.851 0.851
0.077 0.269 0.912
0.088 0.923 0.731
0.094 0.406 0.250
0.231 0.423 0.588
0.250 0.094 0.406
0.269 0.912 0.077
0.406 0.250 0.094
0.412 0.769 0.577
0.423 0.588 0.231
0.577 0.412 0.769
0.588 0.231 0.423
0.594 0.750 0.906
0.731 0.088 0.923
0.750 0.906 0.594
0.769 0.577 0.412
0.906 0.594 0.750
0.912 0.077 0.269
0.923 0.731 0.088
```

Values from the calculation:
Volume in A^3/atom: 41.787
Uncorrected formation energy in eV per formula unit: -25.8

# 3
IrAuOF2 after structural relaxation, computed with GGA-PBE.

Cell and atoms, written as POSCAR:
```
IrAuOF2
1.0
4.361 0.000 0.000
0.000 4.361 0.000
0.000 0.000 4.102
Ir Au O F
1 1 1 2
direct
0.000 0.000 0.000
0.500 0.500 0.500
0.500 0.500 0.000
0.000 0.500 0.500
0.500 0.000 0.500
```

Values from the calculation:
Volume in A^3/atom: 15.601
Uncorrected formation energy in eV per formula unit: 3.4

# 4
Sc3Ti5N8 after structural relaxation, computed with GGA-PBE.

Cell and atoms, written as POSCAR:
```
Sc3Ti5N8
1.0
3.065 1.770 5.026
-3.065 1.770 5.026
0.000 -3.539 5.026
Sc Ti N
3 5 8
direct
0.000 0.500 0.500
0.500 0.000 0.500
0.500 0.500 0.000
0.000 0.000 0.000
0.000 0.000 0.500
0.000 0.500 0.000
0.500 0.000 0.000
0.500 0.500 0.500
0.242 0.750 0.750
0.245 0.245 0.245
0.250 0.250 0.758
0.250 0.758 0.250
0.750 0.242 0.750
0.750 0.750 0.242
0.755 0.755 0.755
0.758 0.250 0.250
```

Values from the calculation:
Volume in A^3/atom: 10.222
Uncorrected formation energy in eV per formula unit: -28.7

# 5
Pr3Sm6Dy2 after structural relaxation, computed with GGA-PBE.

Cell and atoms, written as POSCAR:
```
Pr3Sm6Dy2
1.0
-2.418 2.418 16.818
2.418 -2.418 16.818
2.418 2.418 -16.818
Pr Sm Dy
3 6 2
direct
0.000 0.000 0.000
0.203 0.203 0.000
0.797 0.797 0.000
0.119 0.619 0.500
0.306 0.306 0.000
0.381 0.881 0.500
0.619 0.119 0.500
0.694 0.694 0.000
0.881 0.381 0.500
0.454 0.454 0.000
0.546 0.546 0.000
```

Values from the calculation:
Volume in A^3/atom: 35.742
Formation energy in eV per atom: 0.266

# 6
La6Cu2Pb after structural relaxation, computed with GGA-PBE.

Cell and atoms, written as POSCAR:
```
La6Cu2Pb
1.0
-4.683 5.176 5.742
4.683 -5.176 5.742
4.683 5.176 -5.742
La Cu Pb
12 4 2
direct
0.030 0.227 0.802
0.196 0.296 0.492
0.196 0.704 0.900
0.319 0.017 0.698
0.319 0.620 0.302
0.425 0.227 0.198
0.575 0.773 0.802
0.681 0.380 0.698
0.681 0.983 0.302
0.804 0.296 0.100
0.804 0.704 0.508
0.970 0.773 0.198
0.114 0.614 0.500
0.366 0.000 0.366
0.634 0.000 0.634
0.886 0.386 0.500
0.000 0.000 0.000
0.500 0.500 0.000
```

Values from the calculation:
Volume in A^3/atom: 30.929
Formation energy in eV per atom: -0.199

# 7
Si23Kr after structural relaxation, computed with GGA-PBE.

Cell and atoms, written as POSCAR:
```
Si23Kr
1.0
10.284 0.000 0.000
0.000 10.284 0.000
0.000 0.000 10.284
Si Kr
46 2
direct
0.000 0.118 0.309
0.000 0.118 0.691
0.000 0.250 0.500
0.000 0.750 0.500
0.000 0.882 0.309
0.000 0.882 0.691
0.118 0.309 0.000
0.118 0.691 0.000
0.184 0.184 0.184
0.184 0.184 0.816
0.184 0.816 0.184
0.184 0.816 0.816
0.191 0.382 0.500
0.191 0.618 0.500
0.250 0.500 0.000
0.309 0.000 0.118
0.309 0.000 0.882
0.316 0.316 0.316
0.316 0.316 0.684
0.316 0.684 0.316
0.316 0.684 0.684
0.382 0.500 0.191
0.382 0.500 0.809
0.500 0.000 0.250
0.500 0.000 0.750
0.500 0.191 0.382
0.500 0.191 0.618
0.500 0.809 0.382
0.500 0.809 0.618
0.618 0.500 0.191
0.618 0.500 0.809
0.684 0.316 0.316
0.684 0.316 0.684
0.684 0.684 0.316
0.684 0.684 0.684
0.691 0.000 0.118
0.691 0.000 0.882
0.750 0.500 0.000
0.809 0.382 0.500
0.809 0.618 0.500
0.816 0.184 0.184
0.816 0.184 0.816
0.816 0.816 0.184
0.816 0.816 0.816
0.882 0.309 0.000
0.882 0.691 0.000
0.000 0.000 0.000
0.500 0.500 0.500
```

Values from the calculation:
Volume in A^3/atom: 22.659
Uncorrected formation energy in eV per formula unit: 2.8

# 8
Ac3MgCd3 after structural relaxation, computed with GGA-PBE.

Cell and atoms, written as POSCAR:
```
Ac3MgCd3
1.0
5.907 -2.547 0.000
5.907 2.547 0.000
-5.696 0.000 15.415
Ac Mg Cd
6 2 6
direct
0.035 0.035 0.381
0.098 0.098 0.922
0.258 0.258 0.226
0.742 0.742 0.774
0.902 0.902 0.078
0.965 0.965 0.619
0.252 0.252 0.595
0.748 0.748 0.405
0.369 0.369 0.454
0.387 0.387 0.924
0.450 0.450 0.764
0.550 0.550 0.236
0.613 0.613 0.076
0.631 0.631 0.546
```

Values from the calculation:
Volume in A^3/atom: 33.138
Formation energy in eV per atom: -0.217

# 9
Na2In2Se after structural relaxation, computed with GGA-PBE.

Cell and atoms, written as POSCAR:
```
Na2In2Se
1.0
4.358 0.000 0.000
0.000 4.358 0.000
0.000 0.000 15.121
Na In Se
4 4 2
direct
0.000 0.500 0.250
0.000 0.500 0.750
0.500 0.000 0.250
0.500 0.000 0.750
0.000 0.000 0.090
0.000 0.000 0.910
0.500 0.500 0.410
0.500 0.500 0.590
0.000 0.000 0.500
0.500 0.500 0.000
```

Values from the calculation:
Volume in A^3/atom: 28.715
Uncorrected formation energy in eV per formula unit: -0.2

# 10
AcPrNd4 after structural relaxation, computed with GGA-PBE.

Cell and atoms, written as POSCAR:
```
AcPrNd4
1.0
0.000 4.822 4.822
4.822 0.000 4.822
4.822 4.822 0.000
Ac Pr Nd
1 1 4
direct
0.000 0.000 0.000
0.750 0.750 0.750
0.376 0.376 0.376
0.376 0.376 0.873
0.376 0.873 0.376
0.873 0.376 0.376
```

Values from the calculation:
Volume in A^3/atom: 37.363
Formation energy in eV per atom: 0.217

# 11
CsRbBe2F8 after structural relaxation, computed with GGA-PBE.

Cell and atoms, written as POSCAR:
```
CsRbBe2F8
1.0
5.462 0.000 0.000
-2.731 4.730 0.000
0.000 0.000 9.495
Cs Rb Be F
1 1 2 8
direct
0.000 0.000 0.000
0.000 0.000 0.500
0.333 0.667 0.768
0.667 0.333 0.232
0.081 0.388 0.713
0.307 0.919 0.713
0.333 0.667 0.931
0.388 0.307 0.287
0.612 0.693 0.713
0.667 0.333 0.069
0.693 0.081 0.287
0.919 0.612 0.287
```

Values from the calculation:
Volume in A^3/atom: 20.446
Uncorrected formation energy in eV per formula unit: -30.3

# 12
TmCdNiRh after structural relaxation, computed with GGA-PBE.

Cell and atoms, written as POSCAR:
```
TmCdNiRh
1.0
6.532 0.000 0.000
0.000 6.532 0.000
0.000 0.000 6.532
Tm Cd Ni Rh
4 4 4 4
direct
0.000 0.000 0.000
0.000 0.500 0.500
0.500 0.000 0.500
0.500 0.500 0.000
0.000 0.000 0.500
0.000 0.500 0.000
0.500 0.000 0.000
0.500 0.500 0.500
0.250 0.250 0.750
0.250 0.750 0.250
0.750 0.250 0.250
0.750 0.750 0.750
0.250 0.250 0.250
0.250 0.750 0.750
0.750 0.250 0.750
0.750 0.750 0.250
```

Values from the calculation:
Volume in A^3/atom: 17.422
Formation energy in eV per atom: -0.437

# 13
PmHfH4 after structural relaxation, computed with GGA-PBE.

Cell and atoms, written as POSCAR:
```
PmHfH4
1.0
3.446 0.000 0.000
0.000 3.446 0.000
0.000 0.000 5.335
Pm Hf H
1 1 4
direct
0.000 0.000 0.000
0.500 0.500 0.500
0.000 0.500 0.290
0.000 0.500 0.710
0.500 0.000 0.290
0.500 0.000 0.710
```

Values from the calculation:
Volume in A^3/atom: 10.561

# 14
LiReBr6 after structural relaxation, computed with GGA-PBE.

Cell and atoms, written as POSCAR:
```
LiReBr6
1.0
3.313 1.913 5.911
-3.313 1.913 5.911
0.000 -3.825 5.911
Li Re Br
1 1 6
direct
0.000 0.000 0.000
0.500 0.500 0.500
0.107 0.426 0.726
0.274 0.893 0.574
0.426 0.726 0.107
0.574 0.274 0.893
0.726 0.107 0.426
0.893 0.574 0.274
```

Values from the calculation:
Volume in A^3/atom: 28.092
Uncorrected formation energy in eV per formula unit: -4.1

# 15
AgAsPd after structural relaxation, computed with GGA-PBE.

Cell and atoms, written as POSCAR:
```
AgAsPd
1.0
13.334 0.000 0.000
0.000 3.030 0.000
0.000 0.000 5.152
Ag As Pd
4 4 4
direct
0.169 0.000 0.000
0.169 0.500 0.500
0.831 0.000 0.000
0.831 0.500 0.500
0.347 0.000 0.668
0.347 0.500 0.168
0.653 0.000 0.668
0.653 0.500 0.168
0.000 0.000 0.338
0.000 0.500 0.838
0.500 0.000 0.329
0.500 0.500 0.829
```

Values from the calculation:
Volume in A^3/atom: 17.348
Formation energy in eV per atom: 0.008

# 16
HfGaHgF2 after structural relaxation, computed with GGA-PBE.

Cell and atoms, written as POSCAR:
```
HfGaHgF2
1.0
4.074 0.000 0.000
0.000 4.074 0.000
0.000 0.000 5.561
Hf Ga Hg F
1 1 1 2
direct
0.000 0.000 0.000
0.500 0.500 0.500
0.500 0.500 0.000
0.000 0.500 0.500
0.500 0.000 0.500
```

Values from the calculation:
Volume in A^3/atom: 18.460
Uncorrected formation energy in eV per formula unit: -3.7

# 17
ZrPaCuPd after structural relaxation, computed with GGA-PBE.

Cell and atoms, written as POSCAR:
```
ZrPaCuPd
1.0
6.827 0.000 0.000
0.000 6.827 0.000
0.000 0.000 6.827
Zr Pa Cu Pd
4 4 4 4
direct
0.000 0.000 0.000
0.000 0.500 0.500
0.500 0.000 0.500
0.500 0.500 0.000
0.000 0.000 0.500
0.000 0.500 0.000
0.500 0.000 0.000
0.500 0.500 0.500
0.250 0.250 0.250
0.250 0.750 0.750
0.750 0.250 0.750
0.750 0.750 0.250
0.250 0.250 0.750
0.250 0.750 0.250
0.750 0.250 0.250
0.750 0.750 0.750
```

Values from the calculation:
Volume in A^3/atom: 19.890
Formation energy in eV per atom: -0.138

# 18
Zn2ReP after structural relaxation, computed with GGA-PBE.

Cell and atoms, written as POSCAR:
```
Zn2ReP
1.0
3.164 0.000 0.000
0.000 4.371 0.000
0.000 0.000 8.449
Zn Re P
4 2 2
direct
0.000 0.000 0.000
0.000 0.500 0.239
0.500 0.000 0.739
0.500 0.500 0.500
0.000 0.500 0.772
0.500 0.000 0.272
0.000 0.000 0.478
0.500 0.500 0.978
```

Values from the calculation:
Volume in A^3/atom: 14.604
Formation energy in eV per atom: 0.202

# 19
Ce2ScS3 after structural relaxation, computed with GGA-PBE.

Cell and atoms, written as POSCAR:
```
Ce2ScS3
1.0
5.753 -3.704 0.000
5.753 3.704 0.000
-1.039 0.000 6.485
Ce Sc S
4 2 6
direct
0.007 0.668 0.819
0.332 0.993 0.681
0.668 0.007 0.319
0.993 0.332 0.181
0.423 0.577 0.250
0.577 0.423 0.750
0.093 0.907 0.250
0.295 0.371 0.493
0.371 0.295 0.993
0.629 0.705 0.007
0.705 0.629 0.507
0.907 0.093 0.750
```

Values from the calculation:
Volume in A^3/atom: 23.031
Uncorrected formation energy in eV per formula unit: -10.0

# 20
CaCr2P after structural relaxation, computed with GGA-PBE.

Cell and atoms, written as POSCAR:
```
CaCr2P
1.0
4.105 0.000 0.000
0.000 4.105 0.000
0.000 0.000 8.726
Ca Cr P
2 4 2
direct
0.000 0.000 0.000
0.500 0.500 0.500
0.000 0.500 0.250
0.000 0.500 0.750
0.500 0.000 0.250
0.500 0.000 0.750
0.000 0.000 0.500
0.500 0.500 0.000
```

Values from the calculation:
Volume in A^3/atom: 18.378
Formation energy in eV per atom: 0.461

Number 1: energy -4.259 eV/atom, size of the total moment 0.0961 μB per atom. Number 2: energy -3.951 eV/atom, size of the total moment 0.1429 μB per atom. Number 3: energy -3.482 eV/atom, size of the total moment 0.5424 μB per atom. Number 4: energy -9.611 eV/atom, size of the total moment 0.0000 μB per atom. Number 5: energy -4.449 eV/atom, size of the total moment 0.0000 μB per atom. Number 6: energy -4.807 eV/atom, size of the total moment 0.0000 μB per atom. Number 7: energy -5.083 eV/atom, size of the total moment 0.0000 μB per atom. Number 8: energy -2.598 eV/atom, size of the total moment 0.0000 μB per atom. Number 9: energy -2.366 eV/atom, size of the total moment 0.0000 μB per atom. Number 10: energy -4.443 eV/atom, size of the total moment 0.0004 μB per atom. Number 11: energy -4.545 eV/atom, size of the total moment 0.1674 μB per atom. Number 12: energy -5.066 eV/atom, size of the total moment 0.0000 μB per atom. Number 13: energy -5.253 eV/atom, size of the total moment 0.0000 μB per atom. Number 14: energy -3.565 eV/atom, size of the total moment 0.2501 μB per atom. Number 15: energy -4.223 eV/atom, size of the total moment 0.0000 μB per atom. Number 16: energy -4.144 eV/atom, size of the total moment 0.0711 μB per atom. Number 17: energy -6.972 eV/atom, size of the total moment 0.2236 μB per atom. Number 18: energy -4.899 eV/atom, size of the total moment 0.0000 μB per atom. Number 19: energy -6.759 eV/atom, size of the total moment 0.4583 μB per atom. Number 20: energy -6.204 eV/atom, size of the total moment 1.9750 μB per atom.